Below is an optimized crystal structure of AcGe3Rh, with properties calculated at the PBE level.

The space group is Pmn2_1 (No. 31) and the conventional cell measures 6.261, 5.993 and 5.947 Å, with angles of 90.00, 90.00 and 90.00 degrees. Symmetry generates all atoms from Ac at (0.000, 0.144, 0.000), Ge at (0.000, 0.849, 0.415), Ge at (0.242, 0.334, 0.543) and Rh at (0.000, 0.609, 0.736).

For the calculated formation energy, the calculation gives -0.59 eV/atom. For the density of states at the Fermi level, the calculation gives 3.3 states/eV/cell. The value obtained for the volume is 22.31 Å³ per atom. For the density, the calculation gives 8154 kg/m³. Its excess energy over the best structure of this formula in the dataset is 14.2 kJ per mole of atoms. The calculation puts the electronic total energy at -5.651 eV/atom.



Below is an optimized crystal structure of BaEuNbInO6, with properties calculated at the PBE level.

The space group is F-43m (No. 216) and the conventional cell measures 8.344, 8.344 and 8.344 Å, with angles of 90.00, 90.00 and 90.00 degrees. Symmetry generates all atoms from Ba at (0.000, 0.000, 0.000), Eu at (0.000, 0.000, 0.500), Nb at (0.250, 0.250, 0.750), In at (0.250, 0.250, 0.250) and O at (0.009, 0.250, 0.750).

The value obtained for the volume is 14.52 Å³ per atom. For the density, the calculation gives 6781 kg/m³. The calculation puts the electronic total energy at -7.974 eV/atom.



Below is an optimized crystal structure of NaPaSe3, with properties calculated at the PBE level.

The space group is Pm-3m (No. 221) and the conventional cell measures 5.488, 5.488 and 5.488 Å, with angles of 90.00, 90.00 and 90.00 degrees. Symmetry generates all atoms from Na at (0.000, 0.000, 0.000), Pa at (0.500, 0.500, 0.500) and Se at (0.000, 0.500, 0.500).

The value obtained for the volume is 33.05 Å³ per atom. For the density, the calculation gives 4933 kg/m³. Its excess energy over the best structure of this formula in the dataset is 2.7 kJ per mole of atoms. The calculation puts the electronic total energy at -5.439 eV/atom.



Below is an optimized crystal structure of Ac8Ge5Te, with properties calculated at the PBE level.

The space group is I-4 (No. 82) and the conventional cell measures 9.847, 9.847 and 9.741 Å, with angles of 90.00, 90.00 and 90.00 degrees. Symmetry generates all atoms from Ac at (0.063, 0.311, 0.436), Ac at (0.072, 0.174, 0.813), Ge at (0.000, 0.000, 0.500), Ge at (0.130, 0.247, 0.125) and Te at (0.000, 0.500, 0.750).

For the density of states at the Fermi level, the calculation gives 22.3 states/eV/cell. The value obtained for the volume is 33.73 Å³ per atom. For the density, the calculation gives 8111 kg/m³. The calculation puts the electronic total energy at -5.015 eV/atom.



Below is an optimized crystal structure of Np2Te3Pd, with properties calculated at the PBE level.

The space group is Pnma (No. 62) and the conventional cell measures 8.876, 4.302 and 17.205 Å, with angles of 90.00, 90.00 and 90.00 degrees. Symmetry generates all atoms from Np at (0.079, 0.250, 0.217), Np at (0.233, 0.750, 0.476), Te at (0.031, 0.250, 0.401), Te at (0.095, 0.750, 0.073), Te at (0.194, 0.250, 0.787) and Pd at (0.129, 0.250, 0.634).

For the density of states at the Fermi level, the calculation gives 85.7 states/eV/cell. The value obtained for the volume is 27.37 Å³ per atom. For the density, the calculation gives 9739 kg/m³. The calculation puts the electronic total energy at -7.317 eV/atom.



Below is an optimized crystal structure of BaMgGa2Pt2, with properties calculated at the PBE level.

The space group is P-3m1 (No. 164) and the conventional cell measures 4.4441, 4.4441 and 7.7146 Å, with angles of 90.00, 90.00 and 120.00 degrees. Symmetry generates all atoms from Ba at (0.0000, 0.0000, 0.0000), Mg at (0.0000, 0.0000, 0.5000), Ga at (0.3333, 0.6667, 0.3197) and Pt at (0.3333, 0.6667, 0.6741).

For the calculated formation energy, the calculation gives -0.81 eV/atom. For the density of states at the Fermi level, the calculation gives 2.2 states/eV/cell. The value obtained for the volume is 21.99 Å³ per atom. For the density, the calculation gives 8699 kg/m³. The calculation puts the electronic total energy at -4.418 eV/atom.



Below is an optimized crystal structure of Pu2AgPd, with properties calculated at the PBE level.

The space group is Fm-3m (No. 225) and the conventional cell measures 7.188, 7.188 and 7.188 Å, with angles of 90.00, 90.00 and 90.00 degrees. Symmetry generates all atoms from Pu at (0.250, 0.250, 0.250), Ag at (0.000, 0.000, 0.000) and Pd at (0.000, 0.000, 0.500).

For the calculated formation energy, the calculation gives -0.11 eV/atom. For the density of states at the Fermi level, the calculation gives 75.0 states/eV/cell. The value obtained for the volume is 23.21 Å³ per atom. For the density, the calculation gives 12559 kg/m³. Its excess energy over the best structure of this formula in the dataset is 4.8 kJ per mole of atoms. The calculation puts the electronic total energy at -9.287 eV/atom.



Below is an optimized crystal structure of Zn3Hg7, with properties calculated at the PBE level.

The space group is Im-3m (No. 229) and the conventional cell measures 9.869, 9.869 and 9.869 Å, with angles of 90.00, 90.00 and 90.00 degrees. Symmetry generates all atoms from Zn at (0.000, 0.000, 0.349), Hg at (0.000, 0.250, 0.500) and Hg at (0.164, 0.164, 0.164).

For the calculated formation energy, the calculation gives 0.09 eV/atom. For the density of states at the Fermi level, the calculation gives 17.5 states/eV/cell. The value obtained for the volume is 24.03 Å³ per atom. For the density, the calculation gives 11058 kg/m³. The calculation puts the electronic total energy at -0.508 eV/atom.



Below is an optimized crystal structure of TaV2Cr, with properties calculated at the PBE level.

The space group is Fm-3m (No. 225) and the conventional cell measures 6.100, 6.100 and 6.100 Å, with angles of 90.00, 90.00 and 90.00 degrees. Symmetry generates all atoms from Ta at (0.000, 0.000, 0.000), V at (0.250, 0.250, 0.250) and Cr at (0.000, 0.000, 0.500).

For the calculated formation energy, the calculation gives 0.06 eV/atom. For the density of states at the Fermi level, the calculation gives 26.4 states/eV/cell. The value obtained for the volume is 14.19 Å³ per atom. For the density, the calculation gives 9798 kg/m³. Its excess energy over the best structure of this formula in the dataset is 4.7 kJ per mole of atoms. The calculation puts the electronic total energy at -9.869 eV/atom.